[1]
# LaAsPt2

Crystalline LaAsPt2 at its relaxed geometry (GGA-PBE, Alexandria).

Values from the calculation:
E ... -6.06 eV per atom

Structure (extended XYZ):
```
4
Lattice="4.3215 0.0000 0.0000 0.0000 4.3215 0.0000 0.0000 0.0000 4.3541" Properties=species:S:1:pos:R:3 pbc="T T T"
La 0.0000 0.0000 0.0000
As 2.1607 2.1607 0.0000
Pt 0.0000 2.1607 2.1771
Pt 2.1607 0.0000 2.1771
```

[2]
# La4AsPt

Crystalline La4AsPt at its relaxed geometry (GGA-PBE, Alexandria).

Values from the calculation:
E ... -4.95 eV per atom

Structure (extended XYZ):
```
6
Lattice="0.0000 4.3967 4.3967 4.3967 0.0000 4.3967 4.3967 4.3967 0.0000" Properties=species:S:1:pos:R:3 pbc="T T T"
La 3.3053 3.3053 3.3053
La 5.4880 5.4880 3.3053
La 5.4880 3.3053 5.4880
La 3.3053 5.4880 5.4880
As 6.5950 6.5950 6.5950
Pt 0.0000 0.0000 0.0000
```

[3]
# LaAsPt3

Crystalline LaAsPt3 at its relaxed geometry (GGA-PBE, Alexandria).

Values from the calculation:
Relative energy among the computed polymorphs ... 0.000 eV/atom

Structure (extended XYZ):
```
5
Lattice="-2.0779 2.0779 5.6796 2.0779 -2.0779 5.6796 2.0779 2.0779 -5.6796" Properties=species:S:1:pos:R:3 pbc="T T T"
La 0.0000 0.0000 0.0000
As 0.0000 0.0000 4.1986
Pt 2.0779 0.0000 2.8148
Pt 0.0000 0.0000 6.6143
Pt 0.0000 2.0779 2.8148
```

The calculation returns the following N(E_F) values, one per record and in order: 3.52, 8.34, 3.21 states/eV/cell.
The calculation returns the following total magnetic moment values, one per record and in order: 0.0, 0.0, 0.0 μB per formula unit.